Computed, not measured: a geometry-optimized Al3IrN structure at the GGA-PBE level of DFT.

The space group is Pm-3m (No. 221) and the conventional cell measures 3.952, 3.952 and 3.952 Å, with angles of 90.00, 90.00 and 90.00 degrees. The distinct sites, in fractional coordinates, are Al at (0.000, 0.000, 0.500), Ir at (0.500, 0.500, 0.500) and N at (0.000, 0.000, 0.000).

As for the raw formation energy: -235 kJ/mol of formula units. The calculation puts the total moment at 0.00 μB/cell.